# 1
Ac5LaAs6, relaxed, DFT PBE-GGA; DFT formation energy = -1.496 eV/atom; space group = No. 12; total moment = 0.000 μB/cell
1.0
-4.844 5.796 -2.086
-7.393 -2.103 1.517
-3.180 1.617 6.975
Ac As La
5 6 1
Direct
0.500 0.167 0.666
0.000 0.334 0.333
0.500 0.500 0.000
0.000 0.666 0.667
0.500 0.833 0.334
0.753 0.082 0.328
0.247 0.590 0.328
0.247 0.245 0.000
0.753 0.755 0.000
0.753 0.410 0.672
0.247 0.918 0.672
0.000 0.000 0.000

# 2
AcLa2As3, relaxed, DFT PBE-GGA; DFT formation energy = -1.536 eV/atom; space group = No. 71; total moment = 0.000 μB/cell
1.0
4.269 0.000 -1.209
-0.657 5.797 -2.320
-0.131 -0.344 7.674
Ac La As
1 2 3
Direct
0.000 0.500 0.000
0.666 0.166 0.333
0.334 0.834 0.667
0.328 0.328 0.655
0.000 0.000 0.000
0.672 0.672 0.345

# 3
AcLaAs4, relaxed, DFT PBE-GGA; DFT formation energy = -0.546 eV/atom; space group = No. 216; total moment = 0.001 μB/cell
1.0
5.880 0.000 0.000
2.940 5.093 0.000
2.940 1.698 4.801
Ac As La
1 4 1
Direct
0.250 0.250 0.250
0.626 0.626 0.123
0.626 0.123 0.626
0.626 0.626 0.626
0.123 0.626 0.626
0.000 0.000 0.000

# 4
AcLaAs2, relaxed, DFT PBE-GGA; DFT formation energy = -1.168 eV/atom; space group = No. 123; total moment = 0.000 μB/cell
1.0
3.805 0.000 0.000
0.000 5.392 0.000
0.000 0.000 5.392
Ac As La
1 2 1
Direct
0.500 0.000 0.000
0.000 0.000 0.500
0.000 0.500 0.000
0.500 0.500 0.500

# 5
Ac2LaAs3, relaxed, DFT PBE-GGA; DFT formation energy = -1.508 eV/atom; space group = No. 70; total moment = 0.000 μB/cell
1.0
7.654 0.033 -1.416
-2.930 7.071 -1.416
-0.009 -0.013 14.216
Ac La As
8 4 12
Direct
0.000 0.500 0.999
0.417 0.417 0.834
0.833 0.333 0.666
0.250 0.250 0.501
0.750 0.750 0.499
0.667 0.167 0.334
0.583 0.583 0.166
0.500 0.000 0.001
0.917 0.917 0.833
0.333 0.833 0.667
0.167 0.667 0.333
0.083 0.083 0.167
0.165 0.672 0.831
0.665 0.158 0.831
0.085 0.078 0.669
0.585 0.592 0.669
0.007 0.507 0.500
0.493 0.993 0.500
0.408 0.415 0.331
0.922 0.915 0.331
0.842 0.335 0.169
0.328 0.835 0.169
0.243 0.243 0.000
0.757 0.757 0.000

# 6
AcLaAs2, relaxed, DFT PBE-GGA; DFT formation energy = -1.523 eV/atom; space group = No. 166; total moment = 0.000 μB/cell
1.0
-2.739 0.181 3.522
-1.317 -3.769 2.000
4.406 -0.842 6.298
Ac La As
1 1 2
Direct
0.500 0.500 0.500
0.000 0.000 0.000
0.747 0.747 0.760
0.253 0.253 0.240